# 1
## YPHCl2 (PBE-GGA)

Data for a geometry-optimized YPHCl2 structure.

Results
V in Å³/cell: 162.2
E in eV/f.u.: -21.0
Space-group type: P4/mmm (123)

abc: 5.326 5.326 5.718
angles: 90.00 90.00 90.00
Atoms (fractional coordinates):
1 Y 0.000 0.000 0.000
2 P 0.000 0.000 0.500
3 H 0.500 0.500 0.500
4 Cl 0.000 0.500 0.000
5 Cl 0.500 0.000 0.000



# 2
## YPHCl2 (PBE-GGA)

Data for a geometry-optimized YPHCl2 structure.

Results
V in Å³/cell: 83.5
E in eV/f.u.: -20.7
Space-group type: P4/mmm (123)

abc: 4.809 4.809 3.611
angles: 90.00 90.00 90.00
Atoms (fractional coordinates):
1 Y 0.000 0.000 0.000
2 P 0.500 0.500 0.000
3 H 0.500 0.500 0.500
4 Cl 0.000 0.500 0.500
5 Cl 0.500 0.000 0.500



# 3
## ZnP2HCl (PBE-GGA)

Data for a geometry-optimized ZnP2HCl structure.

Results
V in Å³/cell: 84.9
E in eV/f.u.: -15.1
Space-group type: P4/mmm (123)

abc: 3.562 3.562 6.693
angles: 90.00 90.00 90.00
Atoms (fractional coordinates):
1 Zn 0.000 0.000 0.000
2 P 0.000 0.500 0.500
3 P 0.500 0.000 0.500
4 H 0.500 0.500 0.500
5 Cl 0.500 0.500 0.000